1.
A plane-wave DFT calculation with PBE was carried out for a relaxed Ho2ThZr crystal.

Its energy relative to the lowest polymorph listed for this composition is 173 meV/atom. The spin magnetization comes out at 0.00 μB per formula unit. For the energy relative to the elements, the calculation gives 0.234 eV/atom. The calculated density comes out at 9.33 g/cm3. As for the total energy: -24.2 eV per cell.

Cell and atoms, written as extended XYZ:
```
4
Lattice="0.000 3.874 3.874 3.874 0.000 3.874 3.874 3.874 0.000" Properties=species:S:1:pos:R:3 pbc="T T T"
Ho 1.937 1.937 1.937
Ho 5.811 5.811 5.811
Th 0.000 0.000 0.000
Zr 3.874 3.874 3.874
```

2.
A plane-wave DFT calculation with PBE was carried out for a relaxed Ho2ThZr crystal.

Its energy relative to the lowest polymorph listed for this composition is 133 meV/atom. The spin magnetization comes out at 0.00 μB per formula unit. For the energy relative to the elements, the calculation gives 0.194 eV/atom. The calculated density comes out at 9.33 g/cm3. As for the total energy: -24.3 eV per cell.

Cell and atoms, written as extended XYZ:
```
4
Lattice="4.057 0.000 0.000 0.000 4.057 0.000 0.000 0.000 7.062" Properties=species:S:1:pos:R:3 pbc="T T T"
Ho 0.000 0.000 1.633
Ho 0.000 0.000 5.430
Th 2.029 2.029 3.531
Zr 2.029 2.029 0.000
```

3.
A plane-wave DFT calculation with PBE was carried out for a relaxed HoThZr crystal.

Its energy relative to the lowest polymorph listed for this composition is 17 meV/atom. The spin magnetization comes out at 0.00 μB per formula unit. For the energy relative to the elements, the calculation gives 0.108 eV/atom. The calculated density comes out at 9.35 g/cm3. As for the total energy: -20.2 eV per cell.

Cell and atoms, written as extended XYZ:
```
3
Lattice="5.407 0.000 0.000 -2.703 4.682 0.000 0.000 0.000 3.424" Properties=species:S:1:pos:R:3 pbc="T T T"
Ho 0.000 0.000 0.000
Th 2.703 1.561 1.712
Zr 0.000 3.122 0.000
```

4.
A plane-wave DFT calculation with PBE was carried out for a relaxed Ho2ThZr crystal.

Its energy relative to the lowest polymorph listed for this composition is 14 meV/atom. The spin magnetization comes out at 0.00 μB per formula unit. For the energy relative to the elements, the calculation gives 0.076 eV/atom. The calculated density comes out at 9.41 g/cm3. As for the total energy: -24.8 eV per cell.

Cell and atoms, written as extended XYZ:
```
4
Lattice="4.800 0.000 0.000 0.000 4.800 0.000 0.000 0.000 5.003" Properties=species:S:1:pos:R:3 pbc="T T T"
Ho 0.000 2.400 0.000
Ho 2.400 0.000 0.000
Th 0.000 0.000 2.501
Zr 2.400 2.400 2.501
```

5.
A plane-wave DFT calculation with PBE was carried out for a relaxed Ho2ThZr crystal.

Its energy relative to the lowest polymorph listed for this composition is 0 meV/atom. The spin magnetization comes out at 0.00 μB per formula unit. For the energy relative to the elements, the calculation gives 0.061 eV/atom. The calculated density comes out at 9.35 g/cm3. As for the total energy: -24.9 eV per cell.

Cell and atoms, written as extended XYZ:
```
4
Lattice="1.738 1.003 11.089 -1.738 1.003 11.089 0.000 -2.007 11.089" Properties=species:S:1:pos:R:3 pbc="T T T"
Ho 0.000 0.000 0.000
Ho 0.000 0.000 5.279
Th 0.000 0.000 19.290
Zr 0.000 0.000 24.808
```

6.
A plane-wave DFT calculation with PBE was carried out for a relaxed HoThZr2 crystal.

Its energy relative to the lowest polymorph listed for this composition is 0 meV/atom. The spin magnetization comes out at 0.00 μB per formula unit. For the energy relative to the elements, the calculation gives 0.097 eV/atom. The calculated density comes out at 8.96 g/cm3. As for the total energy: -28.7 eV per cell.

Cell and atoms, written as extended XYZ:
```
4
Lattice="4.778 0.000 0.000 0.000 4.778 0.000 0.000 0.000 4.704" Properties=species:S:1:pos:R:3 pbc="T T T"
Ho 0.000 0.000 0.000
Th 2.389 2.389 0.000
Zr 0.000 2.389 2.352
Zr 2.389 0.000 2.352
```

7.
A plane-wave DFT calculation with PBE was carried out for a relaxed Ho2ThZr crystal.

Its energy relative to the lowest polymorph listed for this composition is 236 meV/atom. The spin magnetization comes out at 0.00 μB per formula unit. For the energy relative to the elements, the calculation gives 0.298 eV/atom. The calculated density comes out at 9.18 g/cm3. As for the total energy: -23.9 eV per cell.

Cell and atoms, written as extended XYZ:
```
4
Lattice="1.694 0.978 11.888 -1.694 0.978 11.888 0.000 -1.956 11.888" Properties=species:S:1:pos:R:3 pbc="T T T"
Ho 0.000 0.000 3.119
Ho 0.000 0.000 32.544
Th 0.000 0.000 17.831
Zr 0.000 0.000 0.000
```

8.
A plane-wave DFT calculation with PBE was carried out for a relaxed HoThZr crystal.

Its energy relative to the lowest polymorph listed for this composition is 83 meV/atom. The spin magnetization comes out at 0.00 μB per formula unit. For the energy relative to the elements, the calculation gives 0.174 eV/atom. The calculated density comes out at 9.46 g/cm3. As for the total energy: -40.0 eV per cell.

Cell and atoms, written as extended XYZ:
```
6
Lattice="1.707 -2.890 0.000 1.707 2.890 0.000 -0.015 0.000 17.360" Properties=species:S:1:pos:R:3 pbc="T T T"
Ho 0.843 0.000 4.014
Ho 2.556 0.000 13.346
Th 0.856 0.000 10.206
Th 2.544 0.000 7.154
Zr 0.838 0.000 16.109
Zr 2.561 0.000 1.251
```

9.
A plane-wave DFT calculation with PBE was carried out for a relaxed HoThZr crystal.

Its energy relative to the lowest polymorph listed for this composition is 0 meV/atom. The spin magnetization comes out at 0.00 μB per formula unit. For the energy relative to the elements, the calculation gives 0.092 eV/atom. The calculated density comes out at 9.45 g/cm3. As for the total energy: -20.3 eV per cell.

Cell and atoms, written as extended XYZ:
```
3
Lattice="-1.695 1.695 7.471 1.695 -1.695 7.471 1.695 1.695 -7.471" Properties=species:S:1:pos:R:3 pbc="T T T"
Ho 0.000 0.000 0.000
Th 0.000 0.000 10.176
Zr 0.000 0.000 5.107
```

10.
A plane-wave DFT calculation with PBE was carried out for a relaxed HoThZr2 crystal.

Its energy relative to the lowest polymorph listed for this composition is 73 meV/atom. The spin magnetization comes out at 0.00 μB per formula unit. For the energy relative to the elements, the calculation gives 0.170 eV/atom. The calculated density comes out at 9.00 g/cm3. As for the total energy: -28.4 eV per cell.

Cell and atoms, written as extended XYZ:
```
4
Lattice="0.000 3.767 3.767 3.767 0.000 3.767 3.767 3.767 0.000" Properties=species:S:1:pos:R:3 pbc="T T T"
Ho 0.000 0.000 0.000
Th 3.767 3.767 3.767
Zr 1.883 1.883 1.883
Zr 5.650 5.650 5.650
```

11.
A plane-wave DFT calculation with PBE was carried out for a relaxed HoThZr2 crystal.

Its energy relative to the lowest polymorph listed for this composition is 12 meV/atom. The spin magnetization comes out at 0.00 μB per formula unit. For the energy relative to the elements, the calculation gives 0.109 eV/atom. The calculated density comes out at 8.83 g/cm3. As for the total energy: -28.7 eV per cell.

Cell and atoms, written as extended XYZ:
```
4
Lattice="3.958 0.000 0.000 0.000 3.958 0.000 0.000 0.000 6.959" Properties=species:S:1:pos:R:3 pbc="T T T"
Ho 0.000 0.000 0.000
Th 0.000 0.000 3.479
Zr 1.979 1.979 1.937
Zr 1.979 1.979 5.021
```

12.
A plane-wave DFT calculation with PBE was carried out for a relaxed HoThZr2 crystal.

Its energy relative to the lowest polymorph listed for this composition is 28 meV/atom. The spin magnetization comes out at 0.00 μB per formula unit. For the energy relative to the elements, the calculation gives 0.125 eV/atom. The calculated density comes out at 8.90 g/cm3. As for the total energy: -28.6 eV per cell.

Cell and atoms, written as extended XYZ:
```
4
Lattice="1.686 0.974 10.970 -1.686 0.974 10.970 0.000 -1.947 10.970" Properties=species:S:1:pos:R:3 pbc="T T T"
Ho 0.000 0.000 0.000
Th 0.000 0.000 27.417
Zr 0.000 0.000 13.690
Zr 0.000 0.000 19.192
```

> Among the records above, which one has the highest energy relative to the lowest polymorph listed for this composition?

number 7

> Look up the energy relative to the lowest polymorph listed for this composition of the eighth one.

83 meV/atom